# 1
Material: Lu2SiSe
Method: DFT, GGA-PBE
State: relaxed

It has space group R-3m (No. 166, hexagonal axes), with a = 4.0223 Å, b = 4.0223 Å, c = 19.9612 Å, α = 90.00°, β = 90.00° and γ = 120.00°. The distinct sites, in fractional coordinates, are Lu at (0.0000, 0.0000, 0.2443), Si at (0.0000, 0.0000, 0.5000) and Se at (0.0000, 0.0000, 0.0000).

The calculation puts the raw formation energy at -1.228 eV/atom.



# 2
Material: BiBPd3
Method: DFT, GGA-PBE
State: relaxed

It has space group Pm-3m (No. 221), with a = 5.088 Å, b = 5.088 Å, c = 5.088 Å, α = 90.00°, β = 90.00° and γ = 90.00°. The distinct sites, in fractional coordinates, are Bi at (0.000, 0.000, 0.000), B at (0.500, 0.500, 0.500) and Pd at (0.000, 0.000, 0.500).

The energy relative to the lowest polymorph listed for this composition is 1.7538 eV/atom.



# 3
Material: Ti2GaAu8
Method: DFT, GGA-PBE
State: relaxed

It has space group C2/m (No. 12), with a = 18.429 Å, b = 3.542 Å, c = 6.585 Å, α = 90.00°, β = 109.72° and γ = 90.00°. The distinct sites, in fractional coordinates, are Ti at (0.202, 0.000, 0.278), Ga at (0.000, 0.500, 0.500), Au at (0.030, 0.000, 0.231), Au at (0.100, 0.500, 0.977), Au at (0.146, 0.500, 0.491) and Au at (0.201, 0.000, 0.847).



no.,spin magnetization (μB per atom),DFT total energy (eV per cell)
1,0.00,-68.6
2,0.00,-18.4
3,0.00,-94.0